No. 1
Cs2SrSi2O6: relaxed, GGA-PBE.

Results
- Energy relative to the elements, uncorrected: -2406 meV/atom
- Space-group type: C2/m, No. 12

Cell: 6.2304 6.2295 7.5853 Å, 114.16 90.00 120.00°
With the nearest neighbours (Å) after each atom.
Fractional coordinates of all 11 atoms:
Sr (0.5000, 0.0000, 0.5000)  6 O 2.53
O (0.2367, 0.0318, 0.2698)  1 Si 1.59
O (0.2374, 0.4749, 0.2717)  1 Si 1.59
O (0.7626, 0.5251, 0.7283)  1 Si 1.59
O (0.7633, 0.9682, 0.7302)  1 Si 1.59
O (0.7951, 0.0318, 0.2698)  1 Si 1.59
O (0.2049, 0.9682, 0.7302)  1 Si 1.59
Si (0.9095, 0.8190, 0.7274)  3 O 1.59
Si (0.0905, 0.1810, 0.2726)  3 O 1.59
Cs (0.7088, 0.4175, 0.1268)  9 O 3.26-3.34
Cs (0.2912, 0.5825, 0.8732)  9 O 3.26-3.34

***

No. 2
CsTaSi2O8: relaxed, GGA-PBE.

Results
- Energy relative to the elements, uncorrected: -2316 meV/atom
- Space-group type: P-3m1, No. 164

Cell: 5.4566 5.4566 8.6885 Å, 90.00 90.00 120.00°
With the nearest neighbours (Å) after each atom.
Fractional coordinates of all 12 atoms:
O (0.6667, 0.3333, 0.1182)  1 Si 1.63
O (0.8297, 0.1707, 0.3684)  1 Si 1.63
O (0.6590, 0.8297, 0.6315)  1 Si 1.63
O (0.3333, 0.6667, 0.8818)  1 Si 1.63
O (0.3410, 0.1703, 0.3684)  1 Si 1.63
O (0.1707, 0.3410, 0.6315)  1 Si 1.63
O (0.1703, 0.8293, 0.6315)  1 Si 1.63
O (0.8293, 0.6590, 0.3684)  1 Si 1.63
Cs (0.0000, 0.0000, 0.0000)  12 O 3.31-3.58
Si (0.3333, 0.6667, 0.6942)  4 O 1.63
Si (0.6667, 0.3333, 0.3058)  4 O 1.63
Ta (0.0000, 0.0000, 0.5000)  6 O 1.98

***

No. 3
CsTbSi2O6: relaxed, GGA-PBE.

Results
- Energy relative to the elements, uncorrected: -2828 meV/atom
- Space-group type: C2/c, No. 15

Cell: 7.3040 7.3040 5.5927 Å, 98.05 98.05 87.64°
With the nearest neighbours (Å) after each atom.
Fractional coordinates of all 20 atoms:
O (0.3751, 0.9317, 0.7669)  1 Si 1.62
O (0.3211, 0.4438, 0.3730)  1 Si 1.65
O (0.1801, 0.1693, 0.0480)  2 Si 1.69
O (0.0683, 0.6249, 0.7331)  1 Si 1.62
O (0.8199, 0.8307, 0.9520)  2 Si 1.69
O (0.4438, 0.3211, 0.8730)  1 Si 1.65
O (0.5562, 0.6789, 0.1270)  1 Si 1.65
O (0.8307, 0.8199, 0.4520)  2 Si 1.69
O (0.1693, 0.1801, 0.5480)  2 Si 1.69
O (0.9317, 0.3751, 0.2669)  1 Si 1.62
O (0.6249, 0.0683, 0.2331)  1 Si 1.62
O (0.6789, 0.5562, 0.6270)  1 Si 1.65
Tb (0.6182, 0.3818, 0.2500)  6 O 2.28-2.37
Tb (0.3818, 0.6182, 0.7500)  6 O 2.28-2.37
Si (0.1449, 0.3032, 0.3111)  4 O 1.62-1.69
Si (0.6968, 0.8551, 0.1889)  4 O 1.62-1.69
Si (0.8551, 0.6968, 0.6889)  4 O 1.62-1.69
Si (0.3032, 0.1449, 0.8111)  4 O 1.62-1.69
Cs (0.8172, 0.1828, 0.7500)  8 O 2.93-3.05
Cs (0.1828, 0.8172, 0.2500)  8 O 2.93-3.05

***

No. 4
CsSi2TeO8: relaxed, GGA-PBE.

Results
- Energy relative to the elements, uncorrected: -1794 meV/atom
- Space-group type: C2/m, No. 12

Cell: 4.9943 4.9943 9.0855 Å, 86.75 86.75 65.02°
With the nearest neighbours (Å) after each atom.
Fractional coordinates of all 12 atoms:
O (0.2292, 0.7301, 0.8478)  1 Si 1.67
O (0.2699, 0.7708, 0.1522)  1 Si 1.67
O (0.6782, 0.6782, 0.3439)  1 Si 1.60
O (0.2260, 0.2260, 0.9591)  1 Si 1.65
O (0.7301, 0.2292, 0.8478)  1 Si 1.67
O (0.7740, 0.7740, 0.0409)  1 Si 1.65
O (0.7708, 0.2699, 0.1522)  1 Si 1.67
O (0.3219, 0.3219, 0.6561)  1 Si 1.60
Si (0.3670, 0.3670, 0.8247)  4 O 1.60-1.67
Si (0.6330, 0.6330, 0.1753)  4 O 1.60-1.67
Te (0.0000, 0.0000, 0.0000)  6 O 1.92-1.94
Cs (0.0000, 0.0000, 0.5000)  10 O 3.14-3.43

***

No. 5
Cs2ThSi6O15: relaxed, GGA-PBE.

Results
- Energy relative to the elements, uncorrected: -2877 meV/atom
- Space-group type: Cmc2_1, No. 36

Cell: 7.4305 9.1939 13.7294 Å, 90.00 90.00 113.83°
With the nearest neighbours (Å) after each atom.
Fractional coordinates of all 48 atoms:
Si (0.3284, 0.0869, 0.2658)  4 O 1.61-1.65
Si (0.9550, 0.9100, 0.9378)  4 O 1.61-1.65
Si (0.5199, 0.6288, 0.6186)  4 O 1.61-1.65
Si (0.2415, 0.9131, 0.7658)  4 O 1.61-1.65
Si (0.1404, 0.2808, 0.9649)  4 O 1.60-1.64
Si (0.4801, 0.3712, 0.1186)  4 O 1.61-1.65
Si (0.0450, 0.0900, 0.4378)  4 O 1.61-1.65
Si (0.8912, 0.3712, 0.1186)  4 O 1.61-1.65
Si (0.8596, 0.7192, 0.4649)  4 O 1.60-1.64
Si (0.6716, 0.9131, 0.7658)  4 O 1.61-1.65
Si (0.7585, 0.0869, 0.2658)  4 O 1.61-1.65
Si (0.1088, 0.6288, 0.6186)  4 O 1.61-1.65
Th (0.8711, 0.7422, 0.1905)  6 O 2.28-2.34
Th (0.1289, 0.2578, 0.6905)  6 O 2.28-2.34
O (0.3456, 0.2393, 0.1979)  2 Si 1.64
O (0.1063, 0.7607, 0.6979)  2 Si 1.64
O (0.8752, 0.1146, 0.3710)  2 Si 1.65
O (0.6427, 0.6410, 0.5174)  2 Si 1.64
O (0.1626, 0.3252, 0.8513)  1 Si 1.60
O (0.2394, 0.1146, 0.3710)  2 Si 1.65
O (0.7271, 0.9204, 0.2155)  1 Si 1.61
O (0.5508, 0.1016, 0.2928)  2 Si 1.64
O (0.5547, 0.5479, 0.1636)  1 Si 1.61
O (0.8068, 0.0796, 0.7155)  1 Si 1.61
O (0.0445, 0.0890, 0.9842)  2 Si 1.63-1.64
O (0.4453, 0.4521, 0.6636)  1 Si 1.61
O (0.2729, 0.0796, 0.7155)  1 Si 1.61
O (0.3373, 0.6746, 0.5835)  2 Si 1.65
O (0.9932, 0.5479, 0.1636)  1 Si 1.61
O (0.6627, 0.3254, 0.0835)  2 Si 1.65
O (0.1100, 0.2200, 0.5235)  1 Si 1.61
O (0.8937, 0.2393, 0.1979)  2 Si 1.64
O (0.9983, 0.6410, 0.5174)  2 Si 1.64
O (0.0068, 0.4521, 0.6636)  1 Si 1.61
O (0.6544, 0.7607, 0.6979)  2 Si 1.64
O (0.0017, 0.3590, 0.0174)  2 Si 1.64
O (0.7606, 0.8854, 0.8710)  2 Si 1.65
O (0.8374, 0.6748, 0.3513)  1 Si 1.60
O (0.1248, 0.8854, 0.8710)  2 Si 1.65
O (0.1932, 0.9204, 0.2155)  1 Si 1.61
O (0.9555, 0.9110, 0.4842)  2 Si 1.63-1.64
O (0.3573, 0.3590, 0.0174)  2 Si 1.64
O (0.4492, 0.8984, 0.7928)  2 Si 1.64
O (0.8900, 0.7800, 0.0235)  1 Si 1.61
Cs (0.6119, 0.2237, 0.5386)  7 O 3.31-3.53
Cs (0.3881, 0.7763, 0.0386)  7 O 3.31-3.53
Cs (0.2677, 0.5353, 0.3457)  8 O 3.26-3.62
Cs (0.7323, 0.4647, 0.8457)  8 O 3.26-3.62

***

No. 6
CsTlSiO4: relaxed, GGA-PBE.

Results
- Energy relative to the elements, uncorrected: -1790 meV/atom
- Space-group type: P2_1/m, No. 11

Cell: 5.5813 5.9729 8.0227 Å, 90.00 108.21 90.00°
With the nearest neighbours (Å) after each atom.
Fractional coordinates of all 14 atoms:
Tl (0.2086, 0.2500, 0.5384)  6 O 2.22-2.42
Tl (0.7914, 0.7500, 0.4616)  6 O 2.22-2.42
O (0.0443, 0.9649, 0.3315)  1 Si 1.69
O (0.0443, 0.5351, 0.3315)  1 Si 1.69
O (0.5460, 0.2500, 0.4481)  1 Si 1.65
O (0.4540, 0.7500, 0.5519)  1 Si 1.65
O (0.4087, 0.7500, 0.2136)  1 Si 1.64
O (0.5913, 0.2500, 0.7864)  1 Si 1.64
O (0.9557, 0.4649, 0.6685)  1 Si 1.69
O (0.9557, 0.0351, 0.6685)  1 Si 1.69
Cs (0.6959, 0.7500, 0.9315)  4 O 2.92-3.19
Cs (0.3041, 0.2500, 0.0685)  4 O 2.92-3.19
Si (0.7522, 0.2500, 0.6471)  4 O 1.64-1.69
Si (0.2478, 0.7500, 0.3529)  4 O 1.64-1.69